{"formula": "CsMnAl2Ag", "functional": "PBE", "state": "optimized geometry", "cell": [[5.9646, 0.0000, 0.0000], [0.0000, 5.9646, 0.0000], [0.0000, 0.0000, 5.5696]], "species": ["Cs", "Mn", "Al", "Al", "Ag"], "frac_coords": [[0.0000, 0.0000, 0.0000], [0.0000, 0.0000, 0.5000], [0.0000, 0.5000, 0.0000], [0.5000, 0.0000, 0.0000], [0.5000, 0.5000, 0.5000]], "crystal_system": "tetragonal", "total_magnetization_mub_per_fu": 3.7, "e_form_ev_per_atom": 1.990, "dos_ef_per_ev_atom": 0.805}

=====

{"formula": "Pr3Sm2Dy5", "functional": "PBE", "state": "optimized geometry", "cell": [[5.3731, -8.2167, 0.0000], [5.3731, 8.2167, 0.0000], [-5.3728, 0.0000, 7.6685]], "species": ["Pr", "Pr", "Pr", "Pr", "Pr", "Pr", "Sm", "Sm", "Sm", "Sm", "Dy", "Dy", "Dy", "Dy", "Dy", "Dy", "Dy", "Dy", "Dy", "Dy"], "frac_coords": [[0.0179, 0.9821, 0.7500], [0.2237, 0.4752, 0.4535], [0.4752, 0.2237, 0.9535], [0.5248, 0.7763, 0.0465], [0.7763, 0.5248, 0.5465], [0.9821, 0.0179, 0.2500], [0.0143, 0.2761, 0.0443], [0.2761, 0.0143, 0.5443], [0.7239, 0.9857, 0.4557], [0.9857, 0.7239, 0.9557], [0.1225, 0.3933, 0.7646], [0.2242, 0.7758, 0.7500], [0.2790, 0.7210, 0.2500], [0.3933, 0.1225, 0.2646], [0.4763, 0.5237, 0.2500], [0.5237, 0.4763, 0.7500], [0.6067, 0.8775, 0.7354], [0.7210, 0.2790, 0.7500], [0.7758, 0.2242, 0.2500], [0.8775, 0.6067, 0.2354]], "crystal_system": "monoclinic", "total_magnetization_mub_per_fu": 0.0, "e_form_ev_per_atom": 0.182, "dos_ef_per_ev_atom": 1.678}

=====

{"formula": "TiBeZnRh", "functional": "PBE", "state": "optimized geometry", "cell": [[0.0000, 2.9846, 2.9846], [2.9846, 0.0000, 2.9846], [2.9846, 2.9846, 0.0000]], "species": ["Ti", "Be", "Zn", "Rh"], "frac_coords": [[0.0000, 0.0000, 0.0000], [0.5000, 0.5000, 0.5000], [0.2500, 0.2500, 0.2500], [0.7500, 0.7500, 0.7500]], "crystal_system": "cubic", "total_magnetization_mub_per_fu": 0.0, "e_form_ev_per_atom": -0.364, "dos_ef_per_ev_atom": 0.901}

=====

{"formula": "Hf3Ti2Sn", "functional": "PBE", "state": "optimized geometry", "cell": [[2.1328, -6.8894, 0.0000], [2.1328, 6.8894, 0.0000], [0.0000, 0.0000, 4.1818]], "species": ["Hf", "Hf", "Hf", "Ti", "Ti", "Sn"], "frac_coords": [[0.0000, 0.0000, 0.0000], [0.3304, 0.6696, 0.0000], [0.6696, 0.3304, 0.0000], [0.1757, 0.8243, 0.5000], [0.8243, 0.1757, 0.5000], [0.5000, 0.5000, 0.5000]], "crystal_system": "orthorhombic", "total_magnetization_mub_per_fu": 0.0, "e_form_ev_per_atom": -0.152, "dos_ef_per_ev_atom": 1.012, "polymorph_energy_ev_per_fu": 0.00}

=====

{"formula": "Fe2ReRu", "functional": "PBE", "state": "optimized geometry", "cell": [[2.6319, -3.5953, 0.0000], [2.6319, 3.5953, 0.0000], [0.0000, 0.0000, 2.6360]], "species": ["Fe", "Fe", "Re", "Ru"], "frac_coords": [[0.0000, 0.5000, 0.0000], [0.5000, 0.0000, 0.0000], [0.0000, 0.0000, 0.5000], [0.5000, 0.5000, 0.5000]], "crystal_system": "orthorhombic", "total_magnetization_mub_per_fu": 0.0, "e_form_ev_per_atom": 0.123, "dos_ef_per_ev_atom": 1.150}

=====

{"formula": "GdPaHgBi", "functional": "PBE", "state": "optimized geometry", "cell": [[0.0000, 3.8137, 3.8137], [3.8137, 0.0000, 3.8137], [3.8137, 3.8137, 0.0000]], "species": ["Gd", "Pa", "Hg", "Bi"], "frac_coords": [[0.0000, 0.0000, 0.0000], [0.5000, 0.5000, 0.5000], [0.7500, 0.7500, 0.7500], [0.2500, 0.2500, 0.2500]], "crystal_system": "cubic", "total_magnetization_mub_per_fu": 10.1, "e_form_ev_per_atom": -0.187, "dos_ef_per_ev_atom": 2.089}

=====

{"formula": "Ga2MoH", "functional": "PBE", "state": "optimized geometry", "cell": [[-3.0529, 3.2196, 2.8471], [3.0529, -3.2196, 2.8471], [3.0529, 3.2196, -2.8471]], "species": ["Ga", "Ga", "Ga", "Ga", "Mo", "Mo", "H", "H"], "frac_coords": [[0.0000, 0.2095, 0.2095], [0.0000, 0.7905, 0.7905], [0.5000, 0.2095, 0.7095], [0.5000, 0.7905, 0.2905], [0.4386, 0.6886, 0.7500], [0.5614, 0.3114, 0.2500], [0.1361, 0.3861, 0.7500], [0.8639, 0.6139, 0.2500]], "crystal_system": "orthorhombic", "total_magnetization_mub_per_fu": 0.0, "dos_ef_per_ev_atom": 0.471, "polymorph_energy_ev_per_fu": 0.00}

=====

{"formula": "PrY2Zn2Ga2", "functional": "PBE", "state": "optimized geometry", "cell": [[2.2358, 1.2909, 9.4485], [-2.2358, 1.2909, 9.4485], [0.0000, -2.5817, 9.4485]], "species": ["Pr", "Y", "Y", "Zn", "Zn", "Ga", "Ga"], "frac_coords": [[0.0000, 0.0000, 0.0000], [0.1279, 0.1279, 0.1279], [0.8721, 0.8721, 0.8721], [0.4029, 0.4029, 0.4029], [0.5971, 0.5971, 0.5971], [0.2581, 0.2581, 0.2581], [0.7419, 0.7419, 0.7419]], "crystal_system": "trigonal", "total_magnetization_mub_per_fu": 0.0, "e_form_ev_per_atom": -0.419, "dos_ef_per_ev_atom": 0.593}

=====

{"formula": "Na2AlTcSe", "functional": "PBE", "state": "optimized geometry", "cell": [[5.1886, 0.0000, 0.0000], [0.0000, 5.1886, 0.0000], [0.0000, 0.0000, 5.1847]], "species": ["Na", "Na", "Al", "Tc", "Se"], "frac_coords": [[0.0000, 0.5000, 0.0000], [0.5000, 0.0000, 0.0000], [0.0000, 0.0000, 0.5000], [0.5000, 0.5000, 0.5000], [0.0000, 0.0000, 0.0000]], "crystal_system": "tetragonal", "total_magnetization_mub_per_fu": 3.6, "e_form_raw_mev_per_atom": 758, "dos_ef_per_ev_atom": 1.028}

=====

{"formula": "Cr2TeW", "functional": "PBE", "state": "optimized geometry", "cell": [[0.0000, 3.1568, 3.1568], [3.1568, 0.0000, 3.1568], [3.1568, 3.1568, 0.0000]], "species": ["Cr", "Cr", "Te", "W"], "frac_coords": [[0.0000, 0.0000, 0.0000], [0.2500, 0.2500, 0.2500], [0.7500, 0.7500, 0.7500], [0.5000, 0.5000, 0.5000]], "crystal_system": "cubic", "total_magnetization_mub_per_fu": 0.1, "e_form_raw_mev_per_atom": 612, "dos_ef_per_ev_atom": 1.103}

=====

{"formula": "NbP2Pb", "functional": "PBE", "state": "optimized geometry", "cell": [[-3.0469, 3.0469, 5.9742], [3.0469, -3.0469, 5.9742], [3.0469, 3.0469, -5.9742]], "species": ["Nb", "Nb", "P", "P", "P", "P", "Pb", "Pb"], "frac_coords": [[0.0000, 0.0000, 0.0000], [0.7500, 0.2500, 0.5000], [0.0596, 0.6250, 0.9346], [0.3750, 0.3096, 0.4346], [0.6904, 0.1250, 0.0654], [0.8750, 0.9404, 0.5654], [0.2500, 0.7500, 0.5000], [0.5000, 0.5000, 0.0000]], "crystal_system": "tetragonal", "total_magnetization_mub_per_fu": 0.7, "e_form_ev_per_atom": 0.038, "dos_ef_per_ev_atom": 0.661}

=====

{"formula": "YSbF2", "functional": "PBE", "state": "optimized geometry", "cell": [[-2.6556, 2.6556, 6.6940], [2.6556, -2.6556, 6.6940], [2.6556, 2.6556, -6.6940]], "species": ["Y", "Y", "Sb", "Sb", "F", "F", "F", "F"], "frac_coords": [[0.0000, 0.0000, 0.0000], [0.7500, 0.2500, 0.5000], [0.2500, 0.7500, 0.5000], [0.5000, 0.5000, 0.0000], [0.3750, 0.1270, 0.2520], [0.8730, 0.1250, 0.2480], [0.8750, 0.1230, 0.7480], [0.8770, 0.6250, 0.7520]], "crystal_system": "tetragonal", "total_magnetization_mub_per_fu": 0.0, "e_form_raw_mev_per_atom": -2296, "dos_ef_per_ev_atom": 0.303, "polymorph_energy_ev_per_fu": 0.00}